Entry 1:
VASP calculation (PBE) on a relaxed structure of Na2Ge2Au.

Formation energy = -0.159 eV/atom
D(E_F) = 6.9 states/eV/cell
Energy above the most stable polymorph in this dataset = 0.061 eV/atom

Cell lengths 9.4560, 5.9998, 8.3039 Å; angles 90.00, 97.73, 90.00 degrees
Closest atoms and distances in Å follow each position.
Space group C2/c (No. 15)
Unique sites:
Na 0.1547 0.1316 0.1562 (multiplicity 8)  6 Ge 3.09-3.39, 2 Au 3.14-3.28
Ge 0.1337 0.3421 0.5050 (multiplicity 8)  1 Ge 2.47, 2 Au 2.59-2.68
Au 0.0000 0.4334 0.7500 (multiplicity 4)  4 Ge 2.59-2.68

---

Entry 2:
VASP calculation (PBE) on a relaxed structure of NaGe2Au7.

Formation energy = -0.033 eV/atom
D(E_F) = 3.5 states/eV/cell

Cell lengths 7.2810, 13.8509, 4.3464 Å; angles 90.00, 90.00, 90.00 degrees
Closest atoms and distances in Å follow each position.
Space group Cmmm (No. 65)
Unique sites:
Na 0.0000 0.0000 0.0000 (multiplicity 2)  8 Au 3.02
Ge 0.0000 0.2713 0.5000 (multiplicity 4)  6 Au 2.56-2.75
Au 0.0000 0.3692 0.0000 (multiplicity 4)  2 Ge 2.56, 2 Au 2.83
Au 0.0000 0.5000 0.5000 (multiplicity 2)  8 Au 2.75-2.83
Au 0.1910 0.1139 0.5000 (multiplicity 8)  2 Ge 2.59-2.75, 2 Au 2.75-2.78

---

> D(E_F) of number 2 (NaGe2Au7)?

3.5 states/eV/cell

---

> Which value of formation energy does entry 2 give?

-0.033 eV/atom

---

> Among the records above, which one has the lowest D(E_F)?

NaGe2Au7